Model 1:
The following is a DFT calculation (PBE-GGA) of an optimized crystal structure of AgSbPt3.

Summary:
Fermi-level density of states   5.09 states/eV/f.u.

CIF file:
```
data_AgSbPt3
_chemical_formula_sum 'Ag1 Sb1 Pt3'
_symmetry_space_group_name_H-M 'P m -3 m'
_symmetry_Int_Tables_number 221
_symmetry_space_group_name_Hall '-P 4 2 3'
_cell_length_a 4.8836
_cell_length_b 4.8836
_cell_length_c 4.8836
_cell_angle_alpha 90.00
_cell_angle_beta 90.00
_cell_angle_gamma 90.00
loop_
_atom_site_label
_atom_site_type_symbol
_atom_site_fract_x
_atom_site_fract_y
_atom_site_fract_z
Ag1 Ag 0.0000 0.0000 0.0000
Sb1 Sb 0.5000 0.5000 0.5000
Pt1 Pt 0.0000 0.0000 0.5000
```



Model 2:
The following is a DFT calculation (PBE-GGA) of an optimized crystal structure of AgSbPt3.

Summary:
Fermi-level density of states   2.10 states/eV/f.u.

CIF file:
```
data_AgSbPt3
_chemical_formula_sum 'Ag1 Sb1 Pt3'
_symmetry_space_group_name_H-M 'P m -3 m'
_symmetry_Int_Tables_number 221
_symmetry_space_group_name_Hall '-P 4 2 3'
_cell_length_a 4.9389
_cell_length_b 4.9389
_cell_length_c 4.9389
_cell_angle_alpha 90.00
_cell_angle_beta 90.00
_cell_angle_gamma 90.00
loop_
_atom_site_label
_atom_site_type_symbol
_atom_site_fract_x
_atom_site_fract_y
_atom_site_fract_z
Ag1 Ag 0.0000 0.0000 0.0000
Sb1 Sb 0.5000 0.5000 0.5000
Pt1 Pt 0.0000 0.5000 0.5000
```



model 2 has the most favorable energy; the next structure is 454 meV per atom above.



Model 1:
The following is a DFT calculation (PBE-GGA) of an optimized crystal structure of Sc2AgPt2.

Summary:
Fermi-level density of states   2.38 states/eV/f.u.

CIF file:
```
data_Sc2AgPt2
_chemical_formula_sum 'Sc4 Ag2 Pt4'
_symmetry_space_group_name_H-M 'P 4/m b m'
_symmetry_Int_Tables_number 127
_symmetry_space_group_name_Hall '-P 4 2ab'
_cell_length_a 7.5568
_cell_length_b 7.5568
_cell_length_c 3.2968
_cell_angle_alpha 90.00
_cell_angle_beta 90.00
_cell_angle_gamma 90.00
loop_
_atom_site_label
_atom_site_type_symbol
_atom_site_fract_x
_atom_site_fract_y
_atom_site_fract_z
Sc1 Sc 0.1633 0.3367 0.0000
Ag1 Ag 0.0000 0.0000 0.5000
Pt1 Pt 0.1346 0.6346 0.5000
```



Model 2:
The following is a DFT calculation (PBE-GGA) of an optimized crystal structure of Sc2AgPt2.

Summary:
Fermi-level density of states   3.11 states/eV/f.u.

CIF file:
```
data_Sc2AgPt2
_chemical_formula_sum 'Sc4 Ag2 Pt4'
_symmetry_space_group_name_H-M 'I 4/m m m'
_symmetry_Int_Tables_number 139
_symmetry_space_group_name_Hall '-I 4 2'
_cell_length_a 4.4567
_cell_length_b 4.4567
_cell_length_c 10.7852
_cell_angle_alpha 90.00
_cell_angle_beta 90.00
_cell_angle_gamma 90.00
loop_
_atom_site_label
_atom_site_type_symbol
_atom_site_fract_x
_atom_site_fract_y
_atom_site_fract_z
Sc1 Sc 0.0000 0.5000 0.2500
Ag1 Ag 0.0000 0.0000 0.0000
Pt1 Pt 0.0000 0.0000 0.3816
```



model 1 has the most favorable energy; the next structure is 262 meV per atom above.



Model 1:
The following is a DFT calculation (PBE-GGA) of an optimized crystal structure of ScAgPt.

Summary:
Fermi-level density of states   1.32 states/eV/f.u.

CIF file:
```
data_ScAgPt
_chemical_formula_sum 'Sc2 Ag2 Pt2'
_symmetry_space_group_name_H-M 'I 4 m m'
_symmetry_Int_Tables_number 107
_symmetry_space_group_name_Hall 'I 4 -2'
_cell_length_a 3.4816
_cell_length_b 3.4816
_cell_length_c 8.9680
_cell_angle_alpha 90.00
_cell_angle_beta 90.00
_cell_angle_gamma 90.00
loop_
_atom_site_label
_atom_site_type_symbol
_atom_site_fract_x
_atom_site_fract_y
_atom_site_fract_z
Sc1 Sc 0.0000 0.0000 0.0000
Ag1 Ag 0.0000 0.0000 0.3202
Pt1 Pt 0.0000 0.0000 0.6428
```



Model 2:
The following is a DFT calculation (PBE-GGA) of an optimized crystal structure of ScAgPt.

Summary:
Fermi-level density of states   1.52 states/eV/f.u.

CIF file:
```
data_ScAgPt
_chemical_formula_sum 'Sc1 Ag1 Pt1'
_symmetry_space_group_name_H-M 'P 3 m 1'
_symmetry_Int_Tables_number 156
_cell_length_a 4.5743
_cell_length_b 4.5743
_cell_length_c 2.9438
_cell_angle_alpha 90.00
_cell_angle_beta 90.00
_cell_angle_gamma 120.00
loop_
_symmetry_equiv_pos_as_xyz
'x,y,z'
'-y,x-y,z'
'-x+y,-x,z'
'-y,-x,z'
'-x+y,y,z'
'x,x-y,z'
loop_
_atom_site_label
_atom_site_type_symbol
_atom_site_fract_x
_atom_site_fract_y
_atom_site_fract_z
Sc1 Sc 0.0000 0.0000 0.0000
Ag1 Ag 0.6667 0.3333 0.3652
Pt1 Pt 0.3333 0.6667 0.6980
```



Model 3:
The following is a DFT calculation (PBE-GGA) of an optimized crystal structure of ScAgPt.

Summary:
Fermi-level density of states   1.03 states/eV/f.u.

CIF file:
```
data_ScAgPt
_chemical_formula_sum 'Sc1 Ag1 Pt1'
_symmetry_space_group_name_H-M 'P 3 m 1'
_symmetry_Int_Tables_number 156
_cell_length_a 3.4376
_cell_length_b 3.4376
_cell_length_c 5.9653
_cell_angle_alpha 90.00
_cell_angle_beta 90.00
_cell_angle_gamma 120.00
loop_
_symmetry_equiv_pos_as_xyz
'x,y,z'
'-y,x-y,z'
'-x+y,-x,z'
'-y,-x,z'
'-x+y,y,z'
'x,x-y,z'
loop_
_atom_site_label
_atom_site_type_symbol
_atom_site_fract_x
_atom_site_fract_y
_atom_site_fract_z
Sc1 Sc 0.0000 0.0000 0.0000
Ag1 Ag 0.6667 0.3333 0.3741
Pt1 Pt 0.3333 0.6667 0.7215
```



Model 4:
The following is a DFT calculation (PBE-GGA) of an optimized crystal structure of ScAgPt.

Summary:
Fermi-level density of states   1.90 states/eV/f.u.

CIF file:
```
data_ScAgPt
_chemical_formula_sum 'Sc4 Ag4 Pt4'
_symmetry_space_group_name_H-M 'C 1 2/m 1'
_symmetry_Int_Tables_number 12
_cell_length_a 9.8967
_cell_length_b 3.4475
_cell_length_c 6.9198
_cell_angle_alpha 90.00
_cell_angle_beta 109.93
_cell_angle_gamma 90.00
loop_
_symmetry_equiv_pos_as_xyz
'x,y,z'
'-x,-y,-z'
'-x,y,-z'
'x,-y,z'
'x+1/2,y+1/2,z'
'-x+1/2,-y+1/2,-z'
'-x+1/2,y+1/2,-z'
'x+1/2,-y+1/2,z'
loop_
_atom_site_label
_atom_site_type_symbol
_atom_site_fract_x
_atom_site_fract_y
_atom_site_fract_z
Sc1 Sc 0.1639 0.0000 0.1272
Ag1 Ag 0.1470 0.0000 0.5459
Pt1 Pt 0.0437 0.5000 0.8100
```



model 1 has the most favorable energy; the next structure is 78 meV per atom above.



Model 1:
The following is a DFT calculation (PBE-GGA) of an optimized crystal structure of ScAgPt.

Summary:
Fermi-level density of states   1.90 states/eV/f.u.

CIF file:
```
data_ScAgPt
_chemical_formula_sum 'Sc2 Ag2 Pt2'
_symmetry_space_group_name_H-M 'P 1 21/m 1'
_symmetry_Int_Tables_number 11
_cell_length_a 3.5118
_cell_length_b 3.5414
_cell_length_c 8.8538
_cell_angle_alpha 90.00
_cell_angle_beta 90.18
_cell_angle_gamma 90.00
loop_
_symmetry_equiv_pos_as_xyz
'x,y,z'
'-x,-y,-z'
'-x,y+1/2,-z'
'x,-y+1/2,z'
loop_
_atom_site_label
_atom_site_type_symbol
_atom_site_fract_x
_atom_site_fract_y
_atom_site_fract_z
Sc1 Sc 0.2470 0.2500 0.2251
Ag1 Ag 0.2506 0.2500 0.5794
Pt1 Pt 0.2540 0.2500 0.9033
```



Model 2:
The following is a DFT calculation (PBE-GGA) of an optimized crystal structure of ScAgPt.

Summary:
Fermi-level density of states   1.36 states/eV/f.u.

CIF file:
```
data_ScAgPt
_chemical_formula_sum 'Sc4 Ag4 Pt4'
_symmetry_space_group_name_H-M 'C m c m'
_symmetry_Int_Tables_number 63
_symmetry_space_group_name_Hall '-C 2c 2'
_cell_length_a 3.5152
_cell_length_b 13.9149
_cell_length_c 4.3762
_cell_angle_alpha 90.00
_cell_angle_beta 90.00
_cell_angle_gamma 90.00
loop_
_atom_site_label
_atom_site_type_symbol
_atom_site_fract_x
_atom_site_fract_y
_atom_site_fract_z
Sc1 Sc 0.0000 0.0877 0.2500
Ag1 Ag 0.0000 0.2406 0.7500
Pt1 Pt 0.0000 0.4288 0.2500
```



model 2 has the most favorable energy; the next structure is 57 meV per atom above.



Model 1:
The following is a DFT calculation (PBE-GGA) of an optimized crystal structure of Sc4AgPt.

Summary:
Fermi-level density of states   7.83 states/eV/f.u.

CIF file:
```
data_Sc4AgPt
_chemical_formula_sum 'Sc4 Ag1 Pt1'
_symmetry_space_group_name_H-M 'P 4/m m m'
_symmetry_Int_Tables_number 123
_symmetry_space_group_name_Hall '-P 4 2'
_cell_length_a 4.6180
_cell_length_b 4.6180
_cell_length_c 6.6287
_cell_angle_alpha 90.00
_cell_angle_beta 90.00
_cell_angle_gamma 90.00
loop_
_atom_site_label
_atom_site_type_symbol
_atom_site_fract_x
_atom_site_fract_y
_atom_site_fract_z
Sc1 Sc 0.0000 0.5000 0.2354
Ag1 Ag 0.0000 0.0000 0.5000
Pt1 Pt 0.5000 0.5000 0.0000
```



Model 2:
The following is a DFT calculation (PBE-GGA) of an optimized crystal structure of Sc4AgPt.

Summary:
Fermi-level density of states   7.34 states/eV/f.u.

CIF file:
```
data_Sc4AgPt
_chemical_formula_sum 'Sc16 Ag4 Pt4'
_symmetry_space_group_name_H-M 'F -4 3 m'
_symmetry_Int_Tables_number 216
_symmetry_space_group_name_Hall 'F -4 2 3'
_cell_length_a 7.8523
_cell_length_b 7.8523
_cell_length_c 7.8523
_cell_angle_alpha 90.00
_cell_angle_beta 90.00
_cell_angle_gamma 90.00
loop_
_atom_site_label
_atom_site_type_symbol
_atom_site_fract_x
_atom_site_fract_y
_atom_site_fract_z
Sc1 Sc 0.1238 0.1238 0.3762
Ag1 Ag 0.0000 0.0000 0.0000
Pt1 Pt 0.2500 0.2500 0.7500
```



model 1 has the most favorable energy; the next structure is 528 meV per atom above.